Ba3SnAs | PBEsol | relaxed

Computed properties:
N(E_F), states/eV/atom: 1.259
Calculated density, g cm⁻³: 4.3
Energy of formation, eV/atom: -0.551

a = 6.1757 Å, b = 6.1757 Å, c = 6.1757 Å
α = 90.00°, β = 90.00°, γ = 90.00°
With the nearest neighbours (Å) after each atom.
Positions (direct):
As 0.0000 0.0000 0.0000  6 Ba 3.09
Ba 0.0000 0.5000 0.0000  2 As 3.09
Ba 0.0000 0.0000 0.5000  2 As 3.09
Ba 0.5000 0.0000 0.0000  2 As 3.09
Sn 0.5000 0.5000 0.5000  12 Ba 4.37

BaSrAs | PBEsol | relaxed

Computed properties:
N(E_F), states/eV/atom: 0.551
Polymorph energy (0 for the lowest one), meV/atom: 0.0
Calculated density, g cm⁻³: 4.6
Energy of formation, eV/atom: -0.867

a = 5.3596 Å, b = 5.3596 Å, c = 5.3596 Å
α = 60.00°, β = 60.00°, γ = 60.00°
With the nearest neighbours (Å) after each atom.
Positions (direct):
Sr 0.5000 0.5000 0.5000  4 As 3.28
As 0.2500 0.2500 0.2500  4 Ba 3.28, 4 Sr 3.28
Ba 0.0000 0.0000 0.0000  4 As 3.28

Ba3SrAs | PBEsol | relaxed

Computed properties:
N(E_F), states/eV/atom: 1.137
Calculated density, g cm⁻³: 3.6
Energy of formation, eV/atom: -0.436

a = 6.4439 Å, b = 6.4439 Å, c = 6.4439 Å
α = 90.00°, β = 90.00°, γ = 90.00°
With the nearest neighbours (Å) after each atom.
Positions (direct):
Sr 0.5000 0.5000 0.5000  12 Ba 4.56
As 0.0000 0.0000 0.0000  6 Ba 3.22
Ba 0.0000 0.5000 0.0000  2 As 3.22
Ba 0.0000 0.0000 0.5000  2 As 3.22
Ba 0.5000 0.0000 0.0000  2 As 3.22

BaSrAs | PBEsol | relaxed

Computed properties:
N(E_F), states/eV/atom: 0.561
Polymorph energy (0 for the lowest one), meV/atom: 26.0
Calculated density, g cm⁻³: 3.5
Energy of formation, eV/atom: -0.841

a = 4.5847 Å, b = 4.5847 Å, c = 7.7475 Å
α = 90.00°, β = 90.00°, γ = 120.00°
With the nearest neighbours (Å) after each atom.
Positions (direct):
Sr 0.3333 0.6667 0.2113  3 As 3.08
As 0.0000 0.0000 0.0092  3 Sr 3.08, 3 Ba 3.19
Ba 0.6667 0.3333 0.7795  3 As 3.19

BaSrTe2As | PBEsol | relaxed

Computed properties:
N(E_F), states/eV/atom: 1.354
Calculated density, g cm⁻³: 3.4
Energy relative to the elements, uncorrected, eV per atom: 0.57

a = 6.2154 Å, b = 6.2154 Å, c = 7.0895 Å
α = 90.00°, β = 90.00°, γ = 90.00°
With the nearest neighbours (Å) after each atom.
Positions (direct):
Sr 0.0000 0.0000 0.5000  2 Ba 3.54
As 0.5000 0.5000 0.5000  4 Sr 4.39, 8 Te 4.71
Te 0.0000 0.5000 0.0000  2 Ba 3.11
Te 0.5000 0.0000 0.0000  2 Ba 3.11
Ba 0.0000 0.0000 0.0000  4 Te 3.11

BaSrZnAs2 | PBEsol | relaxed

Computed properties:
N(E_F), states/eV/atom: 0.834
Calculated density, g cm⁻³: 3.4
Energy of formation, eV/atom: 0.821

a = 5.6807 Å, b = 5.6807 Å, c = 6.6458 Å
α = 90.00°, β = 90.00°, γ = 90.00°
With the nearest neighbours (Å) after each atom.
Positions (direct):
Sr 0.0000 0.0000 0.5000  2 Ba 3.32
As 0.0000 0.5000 0.0000  2 Ba 2.84
As 0.5000 0.0000 0.0000  2 Ba 2.84
Ba 0.0000 0.0000 0.0000  4 As 2.84
Zn 0.5000 0.5000 0.5000  4 Sr 4.02, 8 As 4.37

Ba2TaAs | PBEsol | relaxed

Computed properties:
N(E_F), states/eV/atom: 0.611
Calculated density, g cm⁻³: 7.3
Energy of formation, eV/atom: 0.580

a = 5.1109 Å, b = 5.8631 Å, c = 5.1109 Å
α = 64.16°, β = 90.00°, γ = 115.84°
With the nearest neighbours (Å) after each atom.
Positions (direct):
As 0.5000 0.0000 0.5000  8 Ba 3.44, 4 Ta 3.61
Ba 0.2500 0.5000 0.2500  4 Ta 3.44, 4 As 3.44, 4 Ba 3.61
Ba 0.7500 0.5000 0.7500  4 As 3.44, 4 Ta 3.44, 4 Ba 3.61
Ta 0.0000 0.0000 0.0000  8 Ba 3.44, 4 As 3.61

Ba2TaAs | PBEsol | relaxed

Computed properties:
N(E_F), states/eV/atom: 1.078
Calculated density, g cm⁻³: 7.3
Energy of formation, eV/atom: 0.077

a = 3.7378 Å, b = 5.7890 Å, c = 6.3286 Å
α = 111.50°, β = 107.18°, γ = 90.00°
With the nearest neighbours (Å) after each atom.
Positions (direct):
As 0.2033 0.7532 0.4066  2 Ta 2.52
Ba 0.9587 0.9309 0.9174  3 As 3.41-3.48, 4 Ba 3.53-3.74, 4 Ta 3.59-3.70
Ba 0.7739 0.2887 0.5478  1 Ta 3.32, 4 As 3.44-3.64, 2 Ba 3.53-3.58
Ta 0.5641 0.5272 0.1281  2 As 2.52

BaTa2As2 | PBEsol | relaxed

Computed properties:
N(E_F), states/eV/atom: 0.404
Calculated density, g cm⁻³: 9.5
Energy of formation, eV/atom: -0.643

a = 4.0050 Å, b = 4.0050 Å, c = 7.6156 Å
α = 105.24°, β = 105.24°, γ = 90.00°
With the nearest neighbours (Å) after each atom.
Positions (direct):
As 0.3728 0.3728 0.7456  4 Ta 2.65
As 0.6272 0.6272 0.2544  4 Ta 2.65
Ba 0.0000 0.0000 0.0000  8 As 3.35
Ta 0.2500 0.7500 0.5000  4 As 2.65, 4 Ta 2.83
Ta 0.7500 0.2500 0.5000  4 As 2.65, 4 Ta 2.83

BaTcAs2 | PBEsol | relaxed

Computed properties:
N(E_F), states/eV/atom: 0.869
Polymorph energy (0 for the lowest one), meV/atom: 105.4
Calculated density, g cm⁻³: 8.0
Energy of formation, eV/atom: -0.284

a = 3.2125 Å, b = 3.2125 Å, c = 7.7059 Å
α = 90.00°, β = 90.00°, γ = 90.00°
With the nearest neighbours (Å) after each atom.
Positions (direct):
As 0.0000 0.0000 0.6854  4 Tc 2.68, 1 As 2.86
As 0.0000 0.0000 0.3146  4 Tc 2.68, 1 As 2.86
Ba 0.5000 0.5000 0.0000  4 Ba 3.21, 8 As 3.32
Tc 0.5000 0.5000 0.5000  8 As 2.68

BaTcAs2 | PBEsol | relaxed

Computed properties:
N(E_F), states/eV/atom: 1.168
Polymorph energy (0 for the lowest one), meV/atom: 912.2
Calculated density, g cm⁻³: 7.2
Energy of formation, eV/atom: 0.523

a = 3.9107 Å, b = 4.7816 Å, c = 4.7816 Å
α = 90.00°, β = 90.00°, γ = 90.00°
With the nearest neighbours (Å) after each atom.
Positions (direct):
As 0.0000 0.0000 0.5000  4 Ba 3.09, 4 Tc 3.09, 4 As 3.38
As 0.0000 0.5000 0.0000  4 Ba 3.09, 4 Tc 3.09, 4 As 3.38
Ba 0.5000 0.5000 0.5000  8 As 3.09, 4 Tc 3.38
Tc 0.5000 0.0000 0.0000  8 As 3.09, 4 Ba 3.38

BaTc2As | PBEsol | relaxed

Computed properties:
N(E_F), states/eV/atom: 1.185
Calculated density, g cm⁻³: 8.8
Energy of formation, eV/atom: 0.947

a = 4.6316 Å, b = 4.8492 Å, c = 4.6316 Å
α = 61.47°, β = 90.00°, γ = 118.53°
With the nearest neighbours (Å) after each atom.
Positions (direct):
As 0.5000 0.0000 0.5000  8 Tc 2.93-3.28, 4 Ba 2.93
Ba 0.7500 0.5000 0.7500  4 As 2.93, 8 Tc 2.93-3.28
Tc 0.0000 0.0000 0.0000  4 Ba 2.93, 4 Tc 2.93, 4 As 3.28
Tc 0.2500 0.5000 0.2500  4 As 2.93, 4 Tc 2.93, 4 Ba 3.28